Entry 1:
# Cs3OsS

Cs3OsS after structural relaxation (GGA-PBEsol, the Alexandria database).

a = 5.5783 Å, b = 5.5783 Å, c = 5.5783 Å
α = 90.00°, β = 90.00°, γ = 90.00°
Last column: nearest neighbours and their distance in Å.
Atoms (fractional coordinates):
Os  0.0000  0.0000  0.0000  6 Cs 2.79
Cs  0.0000  0.5000  0.0000  2 Os 2.79
Cs  0.5000  0.0000  0.0000  2 Os 2.79
Cs  0.0000  0.0000  0.5000  2 Os 2.79
S  0.5000  0.5000  0.5000  12 Cs 3.94

## Properties
Space-group type: Pm-3m
Total moment, μB/atom: 0.070
Formation energy without anion corrections, kJ per mole of atoms: 75.8
Crystal system: cubic

Entry 2:
# BaRhS3

BaRhS3 after structural relaxation (GGA-PBEsol, the Alexandria database).

a = 4.7236 Å, b = 4.7236 Å, c = 4.7236 Å
α = 90.00°, β = 90.00°, γ = 90.00°
Last column: nearest neighbours and their distance in Å.
Atoms (fractional coordinates):
Ba  0.5000  0.5000  0.5000  12 S 3.34
S  0.0000  0.5000  0.0000  2 Rh 2.36
S  0.5000  0.0000  0.0000  2 Rh 2.36
Rh  0.0000  0.0000  0.0000  6 S 2.36
S  0.0000  0.0000  0.5000  2 Rh 2.36

## Properties
Space-group type: Pm-3m
Energy relative to the lowest polymorph listed for this composition, meV/atom: 0
Total moment, μB/atom: 0.191
Formation energy without anion corrections, kJ per mole of atoms: -77.6
Crystal system: cubic

Entry 3:
# CoIr2Se

CoIr2Se after structural relaxation (GGA-PBEsol, the Alexandria database).

a = 2.8373 Å, b = 3.5004 Å, c = 5.5732 Å
α = 90.00°, β = 90.00°, γ = 90.00°
Last column: nearest neighbours and their distance in Å.
Atoms (fractional coordinates):
Ir  0.0000  0.0000  0.2662  4 Co 2.60, 3 Ir 2.61-2.84, 4 Se 2.70
Co  0.5000  0.5000  0.5000  8 Ir 2.60, 2 Se 2.79, 2 Co 2.84
Se  0.5000  0.5000  0.0000  8 Ir 2.70, 2 Co 2.79, 2 Se 2.84
Ir  0.0000  0.0000  0.7338  4 Co 2.60, 3 Ir 2.61-2.84, 4 Se 2.70

## Properties
Space-group type: Pmmm
Total moment, μB/atom: 0.519
Formation energy without anion corrections, kJ per mole of atoms: 34.4
Crystal system: orthorhombic

Entry 4:
# MnSi2Sb

MnSi2Sb after structural relaxation (GGA-PBEsol, the Alexandria database).

a = 3.5451 Å, b = 4.4035 Å, c = 4.4035 Å
α = 90.00°, β = 90.00°, γ = 90.00°
Last column: nearest neighbours and their distance in Å.
Atoms (fractional coordinates):
Si  0.0000  0.5000  0.0000  4 Mn 2.83, 4 Sb 2.83, 4 Si 3.11
Mn  0.5000  0.5000  0.5000  8 Si 2.83, 4 Sb 3.11
Si  0.0000  0.0000  0.5000  4 Mn 2.83, 4 Sb 2.83, 4 Si 3.11
Sb  0.5000  0.0000  0.0000  8 Si 2.83, 4 Mn 3.11

## Properties
Space-group type: P4/mmm
Total moment, μB/atom: 0.886
Formation energy without anion corrections, kJ per mole of atoms: 50.1
Crystal system: tetragonal